1.
Here is an optimized crystal structure of NpNi11Sb from the Alexandria database. Energies are from GGA-PBE.

Cell lengths 6.2672, 6.2672, 6.3830 Å; angles 97.89, 97.89, 134.45 degrees
Closest atoms and distances in Å follow each position.
Fractional positions:
Np1 0.0000 0.0000 0.0000  18 Ni 2.94-3.19, 2 Sb 3.25
Ni1 0.0000 0.0000 0.5000  2 Sb 2.43, 8 Ni 2.48-2.54
Ni2 0.0000 0.5000 0.0000  10 Ni 2.34-2.55
Ni3 0.0370 0.6723 0.6560  6 Ni 2.45-2.57, 1 Sb 2.68
Ni4 0.2791 0.4998 0.7915  7 Ni 2.34-2.57, 1 Sb 2.47
Ni5 0.3277 0.9630 0.3440  6 Ni 2.45-2.57, 1 Sb 2.68
Ni6 0.5000 0.0000 0.0000  10 Ni 2.34-2.55
Ni7 0.4998 0.2791 0.7915  7 Ni 2.34-2.57, 1 Sb 2.47
Ni8 0.5002 0.7209 0.2085  7 Ni 2.34-2.57, 1 Sb 2.47
Ni9 0.6723 0.0370 0.6560  6 Ni 2.45-2.57, 1 Sb 2.68
Ni10 0.7209 0.5002 0.2085  7 Ni 2.34-2.57, 1 Sb 2.47
Ni11 0.9630 0.3277 0.3440  6 Ni 2.45-2.57, 1 Sb 2.68
Sb1 0.5000 0.5000 0.5000  10 Ni 2.43-2.68

## Properties
Total magnetic moment = 0.53 μB per cell
Total DFT energy (no corrections) = -0.459 Ry per atom
Space-group type = No. 12
Density = 10.0 g/cm³

***

2.
Here is an optimized crystal structure of NpNiSb from the Alexandria database. Energies are from GGA-PBE.

Cell lengths 5.9576, 5.9576, 5.9576 Å; angles 147.59, 147.59, 46.49 degrees
Closest atoms and distances in Å follow each position.
Fractional positions:
Np1 0.0000 0.0000 0.0000  4 Ni 2.86, 1 Sb 3.17
Ni1 0.6493 0.6493 0.0000  4 Sb 2.81, 4 Np 2.86
Sb1 0.2899 0.2899 0.0000  4 Ni 2.81

## Properties
Total magnetic moment = 3.67 μB per cell
Total DFT energy (no corrections) = -0.556 Ry per atom
Space-group type = No. 107
Density = 11.5 g/cm³

***

3.
Here is an optimized crystal structure of NpNiSb from the Alexandria database. Energies are from GGA-PBE.

Cell lengths 4.2967, 4.2967, 4.0447 Å; angles 90.00, 90.00, 120.00 degrees
Closest atoms and distances in Å follow each position.
Fractional positions:
Np1 0.0000 0.0000 0.0000  3 Ni 2.98, 6 Sb 3.18-3.22
Ni1 0.6667 0.3333 0.5896  3 Sb 2.51
Sb1 0.3333 0.6667 0.4906  3 Ni 2.51

## Properties
Total magnetic moment = 4.02 μB per cell
Total DFT energy (no corrections) = -0.576 Ry per atom
Space-group type = No. 156
Density = 10.7 g/cm³

***

4.
Here is an optimized crystal structure of Np4Ni3Sb8 from the Alexandria database. Energies are from GGA-PBE.

Cell lengths 4.3501, 4.3501, 18.3439 Å; angles 90.00, 90.00, 90.00 degrees
Closest atoms and distances in Å follow each position.
Fractional positions:
Np1 0.0000 0.5000 0.1129  2 Ni 3.00, 8 Sb 3.16-3.28
Np2 0.0000 0.5000 0.6199  4 Ni 3.09, 8 Sb 3.18-3.28
Np3 0.5000 0.0000 0.3801  4 Ni 3.09, 8 Sb 3.18-3.28
Np4 0.5000 0.0000 0.8871  2 Ni 3.00, 8 Sb 3.16-3.28
Ni1 0.0000 0.0000 0.0000  4 Sb 2.55
Ni2 0.0000 0.0000 0.5000  4 Sb 2.59
Ni3 0.5000 0.5000 0.5000  4 Sb 2.59
Sb1 0.0000 0.0000 0.2463  4 Sb 3.08, 4 Np 3.27-3.28
Sb2 0.0000 0.0000 0.7537  4 Sb 3.08, 4 Np 3.27-3.28
Sb3 0.0000 0.5000 0.4230  4 Ni 2.59
Sb4 0.0000 0.5000 0.9276  2 Ni 2.55
Sb5 0.5000 0.0000 0.0724  2 Ni 2.55
Sb6 0.5000 0.0000 0.5770  4 Ni 2.59
Sb7 0.5000 0.5000 0.2465  4 Sb 3.08, 4 Np 3.28
Sb8 0.5000 0.5000 0.7535  4 Sb 3.08, 4 Np 3.28

## Properties
Total magnetic moment = 14.28 μB per cell
Total DFT energy (no corrections) = -0.522 Ry per atom
Space-group type = No. 115
Density = 10.0 g/cm³

***

5.
Here is an optimized crystal structure of NpNi3Sb from the Alexandria database. Energies are from GGA-PBE.

Cell lengths 6.8761, 6.8761, 4.7403 Å; angles 90.00, 90.00, 134.51 degrees
Closest atoms and distances in Å follow each position.
Fractional positions:
Np1 0.0589 0.9411 0.7500  2 Np 2.80, 10 Ni 2.86-3.00, 2 Sb 3.13
Np2 0.9411 0.0589 0.2500  2 Np 2.80, 10 Ni 2.86-3.00, 2 Sb 3.13
Ni1 0.1097 0.3908 0.7500  4 Ni 2.52-2.66, 3 Sb 2.53-2.79
Ni2 0.3908 0.1097 0.2500  4 Ni 2.52-2.66, 3 Sb 2.53-2.79
Ni3 0.5000 0.5000 0.0000  6 Ni 2.37-2.52
Ni4 0.5000 0.5000 0.5000  6 Ni 2.37-2.52
Ni5 0.6092 0.8903 0.7500  4 Ni 2.52-2.66, 3 Sb 2.53-2.79
Ni6 0.8903 0.6092 0.2500  4 Ni 2.52-2.66, 3 Sb 2.53-2.79
Sb1 0.3103 0.6897 0.2500  8 Ni 2.53-2.79
Sb2 0.6897 0.3103 0.7500  8 Ni 2.53-2.79

## Properties
Total magnetic moment = 7.18 μB per cell
Total DFT energy (no corrections) = -0.518 Ry per atom
Space-group type = No. 63
Density = 11.1 g/cm³

***

6.
Here is an optimized crystal structure of Np3Ni3Sb4 from the Alexandria database. Energies are from GGA-PBE.

Cell lengths 8.1481, 8.1481, 8.1481 Å; angles 109.47, 109.47, 109.47 degrees
Closest atoms and distances in Å follow each position.
Fractional positions:
Np1 0.1250 0.8750 0.2500  4 Ni 2.88
Np2 0.2500 0.1250 0.8750  4 Ni 2.88
Np3 0.3750 0.6250 0.7500  4 Ni 2.88
Np4 0.6250 0.7500 0.3750  4 Ni 2.88
Np5 0.7500 0.3750 0.6250  4 Ni 2.88
Np6 0.8750 0.2500 0.1250  4 Ni 2.88
Ni1 0.1250 0.7500 0.8750  4 Sb 2.62, 4 Np 2.88
Ni2 0.2500 0.6250 0.3750  4 Sb 2.62, 4 Np 2.88
Ni3 0.3750 0.2500 0.6250  4 Sb 2.62, 4 Np 2.88
Ni4 0.6250 0.3750 0.2500  4 Sb 2.62, 4 Np 2.88
Ni5 0.7500 0.8750 0.1250  4 Sb 2.62, 4 Np 2.88
Ni6 0.8750 0.1250 0.7500  4 Sb 2.62, 4 Np 2.88
Sb1 0.0000 0.1634 0.5000  3 Ni 2.62
Sb2 0.0000 0.6634 0.5000  3 Ni 2.62
Sb3 0.1634 0.5000 0.0000  3 Ni 2.62
Sb4 0.3366 0.3366 0.3366  3 Ni 2.62
Sb5 0.5000 0.0000 0.1634  3 Ni 2.62
Sb6 0.5000 0.0000 0.6634  3 Ni 2.62
Sb7 0.6634 0.5000 0.0000  3 Ni 2.62
Sb8 0.8366 0.8366 0.8366  3 Ni 2.62

## Properties
Total magnetic moment = 18.16 μB per cell
Total DFT energy (no corrections) = -0.561 Ry per atom
Space-group type = No. 220
Density = 11.0 g/cm³

***

Which formula does entry 1 have?
NpNi11Sb

***

What is the formula in the second record?
NpNiSb

***

Repeat the fifth record exactly.
Here is an optimized crystal structure of NpNi3Sb from the Alexandria database. Energies are from GGA-PBE.

Cell lengths 6.8761, 6.8761, 4.7403 Å; angles 90.00, 90.00, 134.51 degrees
Closest atoms and distances in Å follow each position.
Fractional positions:
Np1 0.0589 0.9411 0.7500  2 Np 2.80, 10 Ni 2.86-3.00, 2 Sb 3.13
Np2 0.9411 0.0589 0.2500  2 Np 2.80, 10 Ni 2.86-3.00, 2 Sb 3.13
Ni1 0.1097 0.3908 0.7500  4 Ni 2.52-2.66, 3 Sb 2.53-2.79
Ni2 0.3908 0.1097 0.2500  4 Ni 2.52-2.66, 3 Sb 2.53-2.79
Ni3 0.5000 0.5000 0.0000  6 Ni 2.37-2.52
Ni4 0.5000 0.5000 0.5000  6 Ni 2.37-2.52
Ni5 0.6092 0.8903 0.7500  4 Ni 2.52-2.66, 3 Sb 2.53-2.79
Ni6 0.8903 0.6092 0.2500  4 Ni 2.52-2.66, 3 Sb 2.53-2.79
Sb1 0.3103 0.6897 0.2500  8 Ni 2.53-2.79
Sb2 0.6897 0.3103 0.7500  8 Ni 2.53-2.79

## Properties
Total magnetic moment = 7.18 μB per cell
Total DFT energy (no corrections) = -0.518 Ry per atom
Space-group type = No. 63
Density = 11.1 g/cm³